Entry 1:
Material: LiY2RuO
Method: DFT, PBE
State: optimized geometry

The structure belongs to space group P4/mmm (No. 123); the cell edges are 4.7738, 4.7738 and 3.7320 Å and the angles 90.00°, 90.00° and 90.00°. The asymmetric unit holds Li at (0.0000, 0.0000, 0.0000), Y at (0.0000, 0.5000, 0.5000), Ru at (0.5000, 0.5000, 0.0000) and O at (0.0000, 0.0000, 0.5000).

The formation energy (no corrections) is -1.258 eV per atom. For the mass density, the calculation gives 5893 kg/m3.



Entry 2:
Material: LiZn2RuO6
Method: DFT, PBE
State: optimized geometry

The structure belongs to space group P2_1/c (No. 14); the cell edges are 5.3135, 5.1417 and 9.2983 Å and the angles 90.00°, 122.09° and 90.00°. The asymmetric unit holds Li at (0.0000, 0.0000, 0.0000), Zn at (0.1987, 0.0211, 0.7284), Ru at (0.5000, 0.0000, 0.5000), O at (0.1651, 0.1081, 0.2734), O at (0.2237, 0.6573, 0.0464) and O at (0.4640, 0.1871, 0.0891).

The formation energy (no corrections) is -1.086 eV per atom. For the mass density, the calculation gives 5167 kg/m3.



Entry 3:
Material: Li8S2O
Method: DFT, PBE
State: optimized geometry

The structure belongs to space group C2/m (No. 12); the cell edges are 16.1016, 3.4514 and 6.6876 Å and the angles 90.00°, 97.43° and 90.00°. The asymmetric unit holds Li at (0.0030, 0.0000, 0.1721), Li at (0.0958, 0.5000, 0.4612), Li at (0.1169, 0.5000, 0.0479), Li at (0.2313, 0.0000, 0.6593), S at (0.1665, 0.0000, 0.2969) and O at (0.0000, 0.5000, 0.0000).

The formation energy (no corrections) is -1.052 eV per atom. For the mass density, the calculation gives 1223 kg/m3.